BaSr2Ge4: relaxed, GGA-PBE.

```
7
Lattice="4.1639 0.0000 -0.9494 -0.2553 4.7933 -1.1198 0.1331 -0.1467 10.1898" Properties=species:S:1:pos:R:3 pbc="T T T"
Ba 2.0819 0.0000 -0.4747
Sr 3.2809 3.8266 4.7839
Ge 3.8771 1.9350 7.3988
Ge 1.4703 1.5849 6.4489
Sr 0.7608 0.8200 3.3367
Ge 2.5713 3.0618 1.6717
Ge 0.1646 2.7117 0.7218
```

Calculated values
electronic total energy	-3.963	eV/atom
formation energy	-570	meV per atom

BaNbCl2: relaxed, GGA-PBE.

```
4
Lattice="-4.2908 8.7770 -1.0331 -5.3244 7.9232 2.3210 -2.0934 9.4364 1.7568" Properties=species:S:1:pos:R:3 pbc="T T T"
Ba -5.8543 13.0683 1.5224
Nb 0.0000 0.0000 0.0000
Cl -10.7015 23.8883 2.7828
Cl -1.0072 2.2482 0.2619
```

Calculated values
electronic total energy	-4.460	eV/atom
energy relative to the lowest polymorph listed for this composition	0	meV/atom
uncorrected formation energy	-538.2	meV/atom

TlNi3Ge: relaxed, GGA-PBE.

```
5
Lattice="-4.0423 -1.7256 -0.0406 1.2809 -3.0683 2.8749 -1.1570 2.6321 3.3246" Properties=species:S:1:pos:R:3 pbc="T T T"
Ni -0.5785 1.3160 1.6623
Ni 0.6405 -1.5341 1.4374
Ge 0.0000 0.0000 0.0000
Tl -1.9592 -1.0809 3.0795
Ni -2.0212 -0.8628 -0.0203
```

Calculated values
electronic total energy	-4.438	eV/atom
energy relative to the lowest polymorph listed for this composition	0	meV/atom
formation energy	428	meV per atom